1.
DFT (PBE) results for a relaxed structure of CsCr2CoH.

Structure (POSCAR):
```
CsCr2CoH
1.0
6.413 0.000 0.000
0.000 5.057 0.000
0.000 0.000 6.413
Cs Cr Co H
1 2 1 1
direct
0.000 0.000 0.000
0.000 0.000 0.500
0.500 0.000 0.000
0.000 0.500 0.000
0.500 0.500 0.500
```

Offset from the most stable computed form: 320 meV per atom
SG: P4/mmm (123)

---

2.
DFT (PBE) results for a relaxed structure of CsCr2CoH.

Structure (POSCAR):
```
CsCr2CoH
1.0
-1.119 -4.592 2.872
2.889 -1.704 -1.600
3.294 1.751 4.083
Cs Cr Co H
1 2 1 1
direct
0.000 0.000 0.000
0.000 0.000 0.500
0.500 0.000 0.000
0.500 0.500 0.500
0.000 0.500 0.000
```

Offset from the most stable computed form: 0 meV per atom
SG: P4/mmm (123)

---

3.
DFT (PBE) results for a relaxed structure of Cs2CrCoI6.

Structure (POSCAR):
```
Cs2CrCoI6
1.0
8.188 0.000 0.000
0.000 8.188 0.000
4.094 4.094 5.645
Cs I Co Cr
2 6 1 1
direct
0.750 0.250 0.500
0.250 0.750 0.500
0.241 0.241 0.519
0.759 0.759 0.481
0.255 0.255 0.000
0.745 0.745 0.000
0.745 0.255 0.000
0.255 0.745 0.000
0.000 0.000 0.000
0.500 0.500 0.000
```

E_form (uncorrected): -6.29 eV/f.u.
SG: I4/mmm (139)

---

4.
DFT (PBE) results for a relaxed structure of CsCrCo2Ir.

Structure (POSCAR):
```
CsCrCo2Ir
1.0
-3.029 0.293 -3.003
1.892 -4.312 -2.330
-2.594 -2.425 2.380
Cs Cr Ir Co
1 1 1 2
direct
0.000 0.500 0.000
0.000 0.000 0.000
0.500 0.500 0.500
0.000 0.000 0.500
0.500 0.000 0.000
```

E_form: 2122 meV per atom
SG: P4/mmm (123)

---

5.
DFT (PBE) results for a relaxed structure of CsCr2CoIr.

Structure (POSCAR):
```
CsCr2CoIr
1.0
-0.677 -1.391 4.279
1.964 -4.621 -1.192
4.153 1.472 1.136
Cs Cr Ir Co
1 2 1 1
direct
0.000 0.500 0.000
0.000 0.000 0.500
0.500 0.000 0.000
0.500 0.500 0.500
0.000 0.000 0.000
```

E_form: 1876 meV per atom
SG: P4/mmm (123)

---

What are the spin magnetization values for these records? In order: 12.07; 9.63; 1.00; 2.85; 6.96 μB per formula unit.
What are the N(E_F) values for these records? In order: 3.119; 8.197; 21.902; 8.412; 8.765 states/eV per cell.